Record 1
Computed, not measured: crystalline FeHg3Ge at its relaxed geometry at the PBE level of DFT.

## Properties
E above lowest polymorph   247 meV/atom
Volume   29.83 Å³ per atom
Energy relative to the elements   907 meV per atom
Density   8.1 g/cm³
Uncorrected energy   -1.8901 eV per atom

Cell lengths 5.303, 5.303, 5.303 Å; angles 90.00, 90.00, 90.00 degrees
Site moments in Bohr magnetons follow the coordinates.
Sites, in units of the cell vectors:
Hg1 0.000 0.000 0.500  0.01
Hg2 0.000 0.500 0.000  0.02
Hg3 0.500 0.000 0.000  -0.01
Fe1 0.500 0.500 0.500  -3.34
Ge1 0.000 0.000 0.000  0.01

***

Record 2
Computed, not measured: crystalline In2FeHgGe at its relaxed geometry at the PBE level of DFT.

## Properties
Volume   23.28 Å³ per atom
Energy relative to the elements   48 meV per atom
Density   8.0 g/cm³
Uncorrected energy   -3.7234 eV per atom

Cell lengths 5.081, 5.081, 4.508 Å; angles 90.00, 90.00, 90.00 degrees
Sites, in units of the cell vectors:
In1 0.000 0.500 0.000
In2 0.500 0.000 0.000
Fe1 0.000 0.000 0.000
Ge1 0.000 0.000 0.500
Hg1 0.500 0.500 0.500

***

Question: uncorrected energy of number 1 (FeHg3Ge)?
Answer: -1.8901 eV per atom

***

Question: The highest density belongs to which entry?
Answer: FeHg3Ge

***

Please write out number 1 again, unchanged.
Computed, not measured: crystalline FeHg3Ge at its relaxed geometry at the PBE level of DFT.

## Properties
E above lowest polymorph   247 meV/atom
Volume   29.83 Å³ per atom
Energy relative to the elements   907 meV per atom
Density   8.1 g/cm³
Uncorrected energy   -1.8901 eV per atom

Cell lengths 5.303, 5.303, 5.303 Å; angles 90.00, 90.00, 90.00 degrees
Site moments in Bohr magnetons follow the coordinates.
Sites, in units of the cell vectors:
Hg1 0.000 0.000 0.500  0.01
Hg2 0.000 0.500 0.000  0.02
Hg3 0.500 0.000 0.000  -0.01
Fe1 0.500 0.500 0.500  -3.34
Ge1 0.000 0.000 0.000  0.01